1.
Density functional theory data (PBE) for a relaxed structure of Ca2BeRu.

Unit cell a=3.920 b=4.385 c=10.604 alpha=90.00 beta=90.00 gamma=90.00
Space group Amm2 (No. 38)
Inequivalent atoms, fractional coordinates:
Ca: 0.000 0.000 0.000 (multiplicity 2)
Ca: 0.500 0.000 0.281 (multiplicity 2)
Be: 0.500 0.000 0.595 (multiplicity 2)
Ru: 0.000 0.000 0.685 (multiplicity 2)

* VASP energy: -4.2157 eV per atom
* ΔH_f (0 K): 0.036 eV per atom

2.
Density functional theory data (PBE) for a relaxed structure of SrLi4Au.

Unit cell a=7.977 b=7.977 c=7.977 alpha=90.00 beta=90.00 gamma=90.00
Space group F-43m (No. 216)
Inequivalent atoms, fractional coordinates:
Sr: 0.000 0.000 0.000 (multiplicity 4)
Li: 0.122 0.122 0.378 (multiplicity 16)
Au: 0.250 0.250 0.750 (multiplicity 4)

* VASP energy: -2.2364 eV per atom
* ΔH_f (0 K): -0.134 eV per atom

3.
Density functional theory data (PBE) for a relaxed structure of MnRu2Pt.

Unit cell a=2.7399 b=2.7399 c=26.4005 alpha=90.00 beta=90.00 gamma=120.00
Space group R3m (No. 160, hexagonal axes)
Inequivalent atoms, fractional coordinates:
Mn: 0.0000 0.0000 0.0000 (multiplicity 3)
Ru: 0.0000 0.0000 0.2517 (multiplicity 3)
Ru: 0.0000 0.0000 0.5060 (multiplicity 3)
Pt: 0.0000 0.0000 0.7493 (multiplicity 3)

* VASP energy: -8.3978 eV per atom
* ΔH_f (0 K): 0.043 eV per atom

4.
Density functional theory data (PBE) for a relaxed structure of La2PuCu12Ni3.

Unit cell a=7.8853 b=7.8853 c=19.9346 alpha=90.00 beta=90.00 gamma=120.00
Space group R-3m (No. 166, hexagonal axes)
Inequivalent atoms, fractional coordinates:
La: 0.0000 0.0000 0.0956 (multiplicity 6)
Pu: 0.0000 0.0000 0.5000 (multiplicity 3)
Cu: 0.0116 0.5058 0.3536 (multiplicity 18)
Cu: 0.1072 0.2143 0.2241 (multiplicity 18)
Ni: 0.0000 0.5000 0.0000 (multiplicity 9)

* VASP energy: -4.6146 eV per atom
* ΔH_f (0 K): 0.423 eV per atom

The records above yield DOS(E_F) values of 1.85; 4.35; 5.43; 27.24 states/eV/f.u., respectively.